The following is a DFT calculation (SCAN) of a PBEsol-optimized structure of BeCuSCl2.

- formation energy without anion corrections (eV per atom) = 0.344
- magnetization (μB per formula unit) = 0.000
- calculated total energy (Ry per atom) = -0.6382

```
data_BeCuSCl2
_cell_length_a 4.432
_cell_length_b 4.432
_cell_length_c 4.752
_cell_angle_alpha 90.00
_cell_angle_beta 90.00
_cell_angle_gamma 90.00
_space_group_name_H-M_alt 'P 4/m m m'
_space_group_IT_number 123
_space_group_name_Hall '-P 4 2'
loop_
_atom_site_label
_atom_site_type_symbol
_atom_site_fract_x
_atom_site_fract_y
_atom_site_fract_z
_atom_site_occupancy
Be1 Be 0.000 0.000 0.000 1
Cu1 Cu 0.500 0.500 0.500 1
S1 S 0.500 0.500 0.000 1
Cl1 Cl 0.000 0.500 0.500 1
```